Density functional theory data (PBE-GGA) for a geometry-optimized Ti3NiC structure.

Lattice parameters (Å, degrees): 4.115 4.115 4.115 90.00 90.00 90.00
Atoms (fractional coordinates):
Ni 0.500 0.500 0.500
C 0.000 0.000 0.000
Ti 0.000 0.500 0.000
Ti 0.000 0.000 0.500
Ti 0.500 0.000 0.000

## Properties
Electronic total energy in eV/atom: -8.12
Polymorph energy (0 for the lowest one) in eV/atom: 0.1562
Space-group type: No. 221
M_tot in μB/f.u.: 0.0
Calculated density in g cm⁻³: 5.11
Formation enthalpy at 0 K in eV/atom: -0.385



Density functional theory data (PBE-GGA) for a geometry-optimized AcPmAgHg structure.

Lattice parameters (Å, degrees): 3.876 3.876 7.816 90.00 90.00 90.00
Atoms (fractional coordinates):
Ac 0.500 0.500 0.112
Pm 0.500 0.500 0.601
Ag 0.000 0.000 0.383
Hg 0.000 0.000 0.833

## Properties
Electronic total energy in eV/atom: -3.36
Polymorph energy (0 for the lowest one) in eV/atom: 0.0000
Space-group type: No. 99
M_tot in μB/f.u.: 0.0
Calculated density in g cm⁻³: 9.62
Formation enthalpy at 0 K in eV/atom: -0.362